Entry 1:
Mg3Au2 at its PBEsol-relaxed geometry. Source: Alexandria, functional meta-GGA SCAN.

Properties
DFT formation energy, eV/atom: -0.72
N(E_F), states/eV per atom: 0.36
Total moment, μB per cell: 0.0

Lattice parameters (Å, degrees): 4.532 4.532 5.560 90.00 90.00 120.00
Fractional positions:
1 Mg 0.000 0.000 0.000
2 Mg 0.333 0.667 0.348
3 Mg 0.667 0.333 0.652
4 Au 0.333 0.667 0.840
5 Au 0.667 0.333 0.160

=====

Entry 2:
MgAu3 at its PBEsol-relaxed geometry. Source: Alexandria, functional meta-GGA SCAN.

Properties
DFT formation energy, eV/atom: -0.48
N(E_F), states/eV per atom: 0.41
Total moment, μB per cell: 0.0

Lattice parameters (Å, degrees): 5.721 5.721 4.763 90.00 90.00 120.00
Fractional positions:
1 Mg 0.333 0.667 0.250
2 Mg 0.667 0.333 0.750
3 Au 0.167 0.335 0.750
4 Au 0.167 0.833 0.750
5 Au 0.335 0.167 0.250
6 Au 0.665 0.833 0.750
7 Au 0.833 0.167 0.250
8 Au 0.833 0.665 0.250

=====

Entry 3:
MgAu3 at its PBEsol-relaxed geometry. Source: Alexandria, functional meta-GGA SCAN.

Properties
DFT formation energy, eV/atom: 0.71
N(E_F), states/eV per atom: 0.50
Total moment, μB per cell: 0.0

Lattice parameters (Å, degrees): 4.946 4.946 4.946 90.00 90.00 90.00
Fractional positions:
1 Mg 0.000 0.000 0.000
2 Au 0.000 0.000 0.500
3 Au 0.000 0.500 0.000
4 Au 0.500 0.000 0.000